1.
! Sm3Th8 (PBE, optimized geometry); values from VASP
&SYSTEM
  ibrav = 0, nat = 11, ntyp = 2
/
ATOMIC_SPECIES
Sm 150.36 Sm.upf
Th 232.04 Th.upf
CELL_PARAMETERS angstrom
1.790 1.034 32.139
-1.790 1.034 32.139
0.000 -2.067 32.139
ATOMIC_POSITIONS angstrom
Sm 0.000 0.000 0.000
Sm 0.000 0.000 26.290
Sm 0.000 0.000 70.128
Th 0.000 0.000 8.842
Th 0.000 0.000 17.520
Th 0.000 0.000 35.067
Th 0.000 0.000 43.855
Th 0.000 0.000 52.563
Th 0.000 0.000 61.351
Th 0.000 0.000 78.898
Th 0.000 0.000 87.576
! - Magnetic moment: 0.000 μB/atom
! - DOS(E_F): 1.538 states/eV per atom
! - Energy relative to the elements: 0.03 eV per atom
! - DFT total energy: -6.6564 eV per atom


2.
! La2Cd2BRh4 (PBE, optimized geometry); values from VASP
&SYSTEM
  ibrav = 0, nat = 9, ntyp = 4
/
ATOMIC_SPECIES
La 138.91 La.upf
Cd 112.41 Cd.upf
B 10.81 B.upf
Rh 102.91 Rh.upf
CELL_PARAMETERS angstrom
-3.216 3.216 4.056
3.216 -3.216 4.056
3.216 3.216 -4.056
ATOMIC_POSITIONS angstrom
La 3.216 0.000 2.028
La 0.000 3.216 2.028
Cd 0.000 0.000 1.551
Cd 0.000 0.000 6.560
B 0.000 0.000 4.056
Rh 1.723 1.723 0.000
Rh 1.493 -1.493 4.056
Rh -1.493 1.493 4.056
Rh 1.493 1.493 4.056
! - Magnetic moment: 0.000 μB/atom
! - DOS(E_F): 0.471 states/eV per atom
! - Energy relative to the elements: -0.49 eV per atom
! - DFT total energy: -5.8005 eV per atom


3.
! SbSeBr2O (PBE, optimized geometry); values from VASP
&SYSTEM
  ibrav = 0, nat = 5, ntyp = 4
/
ATOMIC_SPECIES
Sb 121.76 Sb.upf
Se 78.96 Se.upf
Br 79.90 Br.upf
O 16.00 O.upf
CELL_PARAMETERS angstrom
4.791 0.000 0.000
0.000 4.791 0.000
0.000 0.000 4.633
ATOMIC_POSITIONS angstrom
Sb 0.000 0.000 0.000
Se 2.396 2.396 0.000
Br 0.000 2.396 2.316
Br 2.396 0.000 2.316
O 2.396 2.396 2.316
! - Magnetic moment: 0.000 μB/atom
! - DOS(E_F): 0.473 states/eV per atom
! - E_form (uncorrected): 43 kJ per mole of atoms
! - DFT total energy: -2.7399 eV per atom


4.
! Er5HfBi6 (PBE, optimized geometry); values from VASP
&SYSTEM
  ibrav = 0, nat = 12, ntyp = 3
/
ATOMIC_SPECIES
Er 167.26 Er.upf
Hf 178.49 Hf.upf
Bi 208.98 Bi.upf
CELL_PARAMETERS angstrom
3.814 -6.604 0.000
3.814 6.604 0.000
-2.551 0.000 7.185
ATOMIC_POSITIONS angstrom
Er 0.000 0.000 0.000
Er 2.539 4.432 3.593
Er 3.814 2.269 0.000
Er 3.814 -2.269 0.000
Er 2.539 -4.432 3.593
Hf 2.539 0.000 3.593
Bi 1.307 2.147 1.846
Bi 0.073 0.000 5.382
Bi 1.307 -2.147 1.846
Bi 3.770 2.147 5.339
Bi 5.005 0.000 1.803
Bi 3.770 -2.147 5.339
! - Magnetic moment: 0.000 μB/atom
! - DOS(E_F): 0.275 states/eV per atom
! - Energy relative to the elements: -0.67 eV per atom
! - DFT total energy: -5.3392 eV per atom


5.
! CaCeP2Rh4 (PBE, optimized geometry); values from VASP
&SYSTEM
  ibrav = 0, nat = 8, ntyp = 4
/
ATOMIC_SPECIES
Ca 40.08 Ca.upf
Ce 140.12 Ce.upf
P 30.97 P.upf
Rh 102.91 Rh.upf
CELL_PARAMETERS angstrom
4.103 0.000 0.000
0.000 4.103 0.000
0.000 0.000 8.559
ATOMIC_POSITIONS angstrom
Ca 0.000 0.000 0.000
Ce 0.000 0.000 4.280
P 2.051 2.051 1.186
P 2.051 2.051 7.373
Rh 0.000 2.051 2.276
Rh 0.000 2.051 6.283
Rh 2.051 0.000 2.276
Rh 2.051 0.000 6.283
! - Magnetic moment: 0.000 μB/atom
! - DOS(E_F): 0.570 states/eV per atom
! - Energy relative to the elements: -0.85 eV per atom
! - DFT total energy: -6.8666 eV per atom


6.
! Nd2Ge4Os3 (PBE, optimized geometry); values from VASP
&SYSTEM
  ibrav = 0, nat = 9, ntyp = 3
/
ATOMIC_SPECIES
Nd 144.24 Nd.upf
Ge 72.64 Ge.upf
Os 190.23 Os.upf
CELL_PARAMETERS angstrom
0.000 4.927 6.364
2.808 0.000 6.364
2.808 4.927 0.000
ATOMIC_POSITIONS angstrom
Nd 2.808 4.927 1.684
Nd 2.808 4.927 11.044
Ge 2.808 3.262 4.405
Ge 2.808 3.262 8.323
Ge 2.808 6.592 4.405
Ge 2.808 6.592 8.323
Os 1.404 2.464 0.000
Os 1.404 2.464 6.364
Os 2.808 4.927 6.364
! - Magnetic moment: 0.000 μB/atom
! - DOS(E_F): 1.088 states/eV per atom
! - Energy relative to the elements: -0.30 eV per atom
! - DFT total energy: -7.1519 eV per atom


7.
! LaPr6In (PBE, optimized geometry); values from VASP
&SYSTEM
  ibrav = 0, nat = 8, ntyp = 3
/
ATOMIC_SPECIES
La 138.91 La.upf
Pr 140.91 Pr.upf
In 114.82 In.upf
CELL_PARAMETERS angstrom
3.566 -6.410 0.000
3.566 6.410 0.000
-3.362 0.000 6.145
ATOMIC_POSITIONS angstrom
La 0.000 0.000 0.000
Pr 2.593 3.536 1.573
Pr 1.176 3.536 4.572
Pr 0.996 0.000 4.562
Pr 2.773 0.000 1.583
Pr 2.593 -3.536 1.573
Pr 1.176 -3.536 4.572
In -1.681 0.000 3.073
! - Magnetic moment: 0.025 μB/atom
! - DOS(E_F): 1.580 states/eV per atom
! - Energy relative to the elements: 0.14 eV per atom
! - DFT total energy: -4.4070 eV per atom


8.
! CePr12Y6 (PBE, optimized geometry); values from VASP
&SYSTEM
  ibrav = 0, nat = 19, ntyp = 3
/
ATOMIC_SPECIES
Ce 140.12 Ce.upf
Pr 140.91 Pr.upf
Y 88.91 Y.upf
CELL_PARAMETERS angstrom
7.990 4.613 2.992
-7.990 4.613 2.992
0.000 -9.226 2.992
ATOMIC_POSITIONS angstrom
Ce 0.000 0.000 0.000
Pr -2.520 -3.378 3.012
Pr -5.074 2.448 2.994
Pr 0.417 -5.619 2.994
Pr -4.657 -3.170 5.983
Pr -1.665 3.872 3.012
Pr -4.185 0.494 5.966
Pr 4.185 -0.494 3.012
Pr 1.665 -3.872 5.966
Pr 4.657 3.170 2.994
Pr -0.417 5.619 5.983
Pr 5.074 -2.448 5.983
Pr 2.520 3.378 5.966
Y -2.060 0.235 2.990
Y 0.826 -1.902 2.990
Y 1.234 1.667 2.990
Y -1.234 -1.667 5.987
Y -0.826 1.902 5.987
Y 2.060 -0.235 5.987
! - Magnetic moment: 0.073 μB/atom
! - DOS(E_F): 1.686 states/eV per atom
! - Energy relative to the elements: 0.03 eV per atom
! - DFT total energy: -5.3443 eV per atom